i:
{
  "formula": "YTc2Ir",
  "functional": "PBE-GGA",
  "state": "relaxed",
  "n_ef_per_ev_cell": 4.47,
  "lattice_angstrom": [[3.0501, 0.0000, 0.0000], [0.0000, 3.0501, 0.0000], [0.0000, 0.0000, 7.5267]],
  "species": ["Tc", "Tc", "Y", "Ir"],
  "frac_coords": [[0.5000, 0.5000, 0.1999], [0.0000, 0.0000, 0.0153], [0.0000, 0.0000, 0.5029], [0.5000, 0.5000, 0.7818]]
}


ii:
{
  "formula": "YTc2Ir",
  "functional": "PBE-GGA",
  "state": "relaxed",
  "n_ef_per_ev_cell": 5.11,
  "lattice_angstrom": [[9.8296, -0.0203, -0.0119], [9.4231, 2.7976, -0.0119], [9.4231, 1.3594, 2.4452]],
  "species": ["Tc", "Tc", "Ir", "Y"],
  "frac_coords": [[0.9906, 0.9906, 0.9906], [0.5094, 0.5094, 0.5094], [0.2500, 0.2500, 0.2500], [0.7500, 0.7500, 0.7500]]
}


iii:
{
  "formula": "YTc2Ir",
  "functional": "PBE-GGA",
  "state": "relaxed",
  "n_ef_per_ev_cell": 5.20,
  "lattice_angstrom": [[4.8542, 0.0000, 0.0000], [0.0000, 3.0265, -0.0111], [0.0000, 0.5164, 4.7614]],
  "species": ["Ir", "Tc", "Tc", "Y"],
  "frac_coords": [[0.5000, 0.7500, 0.7500], [0.0000, 0.9223, 0.9957], [0.0000, 0.5777, 0.5043], [0.5000, 0.2500, 0.2500]]
}


Stability, highest: i


i:
{
  "formula": "YTc2Ir",
  "functional": "PBE-GGA",
  "state": "relaxed",
  "n_ef_per_ev_cell": 5.01,
  "lattice_angstrom": [[-0.7504, -2.6844, -0.5104], [1.0961, -1.0049, 3.6734], [-5.8225, 1.2330, 2.0747]],
  "species": ["Ir", "Y", "Tc", "Tc"],
  "frac_coords": [[0.5000, 0.5000, 0.7500], [0.5000, 0.5000, 0.2500], [0.0000, 0.0000, 0.5541], [0.0000, 0.0000, 0.9459]]
}


ii:
{
  "formula": "YTc2Ir",
  "functional": "PBE-GGA",
  "state": "relaxed",
  "n_ef_per_ev_cell": 6.31,
  "lattice_angstrom": [[4.6136, 0.0000, 0.0000], [0.0000, 4.6136, 0.0000], [0.0000, 0.0000, 3.1761]],
  "species": ["Ir", "Y", "Tc", "Tc"],
  "frac_coords": [[0.0000, 0.5000, 0.5000], [0.5000, 0.0000, 0.5000], [0.0000, 0.0000, 0.0000], [0.5000, 0.5000, 0.0000]]
}


Stability, highest: i


i:
{
  "formula": "YTc2Ir2",
  "functional": "PBE-GGA",
  "state": "relaxed",
  "n_ef_per_ev_cell": 6.59,
  "lattice_angstrom": [[-3.9956, -0.4595, 0.2417], [0.3857, -1.3717, 3.7689], [-2.2932, 4.3685, 3.9784]],
  "species": ["Ir", "Ir", "Tc", "Tc", "Y"],
  "frac_coords": [[0.6079, 0.6079, 0.7842], [0.3921, 0.3921, 0.2158], [0.7500, 0.2500, 0.5000], [0.2500, 0.7500, 0.5000], [0.0000, 0.0000, 0.0000]]
}


ii:
{
  "formula": "YTc2Ir2",
  "functional": "PBE-GGA",
  "state": "relaxed",
  "n_ef_per_ev_cell": 9.60,
  "lattice_angstrom": [[7.7480, 0.0000, 0.0000], [0.0000, 7.7480, 0.0000], [0.0000, 0.0000, 2.7952]],
  "species": ["Tc", "Tc", "Tc", "Tc", "Ir", "Ir", "Ir", "Ir", "Y", "Y"],
  "frac_coords": [[0.6734, 0.8266, 0.5000], [0.8266, 0.3266, 0.5000], [0.3266, 0.1734, 0.5000], [0.1734, 0.6734, 0.5000], [0.1218, 0.3782, 0.0000], [0.8782, 0.6218, 0.0000], [0.3782, 0.8782, 0.0000], [0.6218, 0.1218, 0.0000], [0.5000, 0.5000, 0.0000], [0.0000, 0.0000, 0.0000]]
}


Stability, highest: i


i:
{
  "formula": "ZnTcIr3",
  "functional": "PBE-GGA",
  "state": "relaxed",
  "n_ef_per_ev_cell": 7.22,
  "lattice_angstrom": [[4.4671, 0.0000, 0.0000], [0.0000, 4.4671, 0.0000], [0.0000, 0.0000, 4.4671]],
  "species": ["Ir", "Ir", "Ir", "Tc", "Zn"],
  "frac_coords": [[0.0000, 0.0000, 0.5000], [0.5000, 0.0000, 0.0000], [0.0000, 0.5000, 0.0000], [0.5000, 0.5000, 0.5000], [0.0000, 0.0000, 0.0000]]
}


ii:
{
  "formula": "ZnTcIr3",
  "functional": "PBE-GGA",
  "state": "relaxed",
  "n_ef_per_ev_cell": 5.19,
  "lattice_angstrom": [[4.6999, 0.0000, 0.0000], [0.0000, 4.6999, 0.0000], [0.0000, 0.0000, 4.6999]],
  "species": ["Zn", "Ir", "Ir", "Ir", "Tc"],
  "frac_coords": [[0.5000, 0.5000, 0.5000], [0.5000, 0.0000, 0.0000], [0.0000, 0.5000, 0.0000], [0.0000, 0.0000, 0.5000], [0.0000, 0.0000, 0.0000]]
}


Stability, highest: ii


i:
{
  "formula": "ZnTcIr",
  "functional": "PBE-GGA",
  "state": "relaxed",
  "n_ef_per_ev_cell": 3.09,
  "lattice_angstrom": [[2.7587, 0.0000, 0.0000], [0.0000, 2.7587, 0.0000], [0.0000, 0.0000, 11.5338]],
  "species": ["Ir", "Ir", "Tc", "Tc", "Zn", "Zn"],
  "frac_coords": [[0.5000, 0.0000, 0.7540], [0.0000, 0.5000, 0.2460], [0.5000, 0.0000, 0.0919], [0.0000, 0.5000, 0.9081], [0.5000, 0.0000, 0.4107], [0.0000, 0.5000, 0.5893]]
}


ii:
{
  "formula": "ZnTcIr",
  "functional": "PBE-GGA",
  "state": "relaxed",
  "n_ef_per_ev_cell": 2.62,
  "lattice_angstrom": [[-3.3886, 1.4310, -2.8890], [-3.7886, -2.6791, -0.5874], [2.6410, 2.3192, 3.0859]],
  "species": ["Tc", "Ir", "Zn"],
  "frac_coords": [[0.3367, 0.3367, 0.0000], [0.9970, 0.9970, 0.0000], [0.6663, 0.6663, 0.0000]]
}


iii:
{
  "formula": "ZnTcIr",
  "functional": "PBE-GGA",
  "state": "relaxed",
  "n_ef_per_ev_cell": 2.55,
  "lattice_angstrom": [[5.9303, -0.0045, 0.0000], [4.6272, 3.7092, 0.0000], [-5.2787, -1.8524, 1.9678]],
  "species": ["Ir", "Zn", "Tc"],
  "frac_coords": [[0.9952, 0.9952, 0.0000], [0.6655, 0.6655, 0.0000], [0.3393, 0.3393, 0.0000]]
}


Stability, highest: i


i:
{
  "formula": "Zn2TcIr",
  "functional": "PBE-GGA",
  "state": "relaxed",
  "n_ef_per_ev_cell": 5.02,
  "lattice_angstrom": [[-3.3341, -3.4182, -0.2340], [4.2680, -1.7048, 1.3162], [-0.6328, 0.4380, 2.6194]],
  "species": ["Zn", "Zn", "Ir", "Tc"],
  "frac_coords": [[0.0000, 0.0000, 0.0000], [0.5000, 0.5000, 0.0000], [0.5000, 0.0000, 0.5000], [0.0000, 0.5000, 0.5000]]
}


ii:
{
  "formula": "Zn2TcIr",
  "functional": "PBE-GGA",
  "state": "relaxed",
  "n_ef_per_ev_cell": 7.41,
  "lattice_angstrom": [[-5.0290, 1.7661, 4.5572], [-4.8203, -2.8721, -4.2063], [-4.6308, -2.7921, 1.3675]],
  "species": ["Zn", "Zn", "Zn", "Zn", "Tc", "Tc", "Ir", "Ir"],
  "frac_coords": [[0.8750, 0.8816, 0.7500], [0.3750, 0.3684, 0.7500], [0.1184, 0.6250, 0.2500], [0.6316, 0.1250, 0.2500], [0.5000, 0.5000, 0.0000], [0.2500, 0.7500, 0.5000], [0.0000, 0.0000, 0.0000], [0.7500, 0.2500, 0.5000]]
}


Stability, highest: i


i:
{
  "formula": "Zn2TcIr",
  "functional": "PBE-GGA",
  "state": "relaxed",
  "n_ef_per_ev_cell": 2.61,
  "lattice_angstrom": [[-2.4265, 3.9763, 0.3414], [-2.4791, 3.2100, -2.3162], [-4.2717, -1.8931, 0.6304]],
  "species": ["Ir", "Zn", "Zn", "Tc"],
  "frac_coords": [[0.5032, 0.5032, 0.4791], [0.9982, 0.9982, 0.9830], [0.7532, 0.7532, 0.7667], [0.2454, 0.2454, 0.2713]]
}


ii:
{
  "formula": "Zn2TcIr",
  "functional": "PBE-GGA",
  "state": "relaxed",
  "n_ef_per_ev_cell": 1.86,
  "lattice_angstrom": [[-3.2353, -0.5675, -1.7978], [-0.7964, -1.7660, 1.9906], [-3.0924, 2.4193, 4.8013]],
  "species": ["Tc", "Ir", "Zn", "Zn"],
  "frac_coords": [[0.5000, 0.7637, 0.7358], [0.0000, 0.4868, 0.5135], [0.5000, 0.2602, 0.2411], [0.0000, 0.9894, 0.0096]]
}


Stability, highest: ii


i:
{
  "formula": "ZrTcIr",
  "functional": "PBE-GGA",
  "state": "relaxed",
  "n_ef_per_ev_cell": 8.47,
  "lattice_angstrom": [[5.6588, 0.0000, 0.0210], [0.0000, 4.1846, 0.0000], [-2.9369, 0.0000, 8.5432]],
  "species": ["Tc", "Tc", "Tc", "Tc", "Ir", "Ir", "Ir", "Ir", "Zr", "Zr", "Zr", "Zr"],
  "frac_coords": [[0.6815, 0.5000, 0.1371], [0.8107, 0.5000, 0.4460], [0.8107, 0.0000, 0.9460], [0.6815, 0.0000, 0.6371], [0.5448, 0.0000, 0.3156], [0.5448, 0.5000, 0.8156], [0.1821, 0.0000, 0.6287], [0.1821, 0.5000, 0.1287], [0.0103, 0.5000, 0.7681], [0.0103, 0.0000, 0.2681], [0.3542, 0.5000, 0.4936], [0.3542, 0.0000, 0.9936]]
}


ii:
{
  "formula": "ZrTcIr",
  "functional": "PBE-GGA",
  "state": "relaxed",
  "n_ef_per_ev_cell": 9.15,
  "lattice_angstrom": [[-4.5633, -3.3213, -0.7192], [1.0712, -0.6311, -3.8824], [7.1757, -5.2513, 2.8335]],
  "species": ["Zr", "Zr", "Zr", "Zr", "Tc", "Tc", "Tc", "Tc", "Ir", "Ir", "Ir", "Ir"],
  "frac_coords": [[0.8318, 0.5000, 0.1356], [0.1682, 0.5000, 0.8644], [0.8318, 0.0000, 0.6356], [0.1682, 0.0000, 0.3644], [0.3823, 0.0000, 0.6882], [0.6177, 0.5000, 0.8118], [0.6177, 0.0000, 0.3118], [0.3823, 0.5000, 0.1882], [0.0000, 0.0000, 0.0000], [0.5000, 0.0000, 0.0000], [0.5000, 0.5000, 0.5000], [0.0000, 0.5000, 0.5000]]
}


iii:
{
  "formula": "ZrTcIr",
  "functional": "PBE-GGA",
  "state": "relaxed",
  "n_ef_per_ev_cell": 4.82,
  "lattice_angstrom": [[4.7448, 0.0000, 0.0021], [0.0000, 3.0841, 0.0000], [-1.1996, 0.0000, 6.8716]],
  "species": ["Zr", "Zr", "Ir", "Ir", "Tc", "Tc"],
  "frac_coords": [[0.6599, 0.0000, 0.9217], [0.2443, 0.0000, 0.2750], [0.4767, 0.5000, 0.5921], [0.7434, 0.5000, 0.2648], [0.1593, 0.5000, 0.9208], [0.9796, 0.0000, 0.6092]]
}


iv:
{
  "formula": "ZrTcIr",
  "functional": "PBE-GGA",
  "state": "relaxed",
  "n_ef_per_ev_cell": 4.74,
  "lattice_angstrom": [[4.5215, 0.0000, 0.0000], [-2.2607, 3.9157, 0.0000], [0.0000, 0.0000, 2.8319]],
  "species": ["Ir", "Zr", "Tc"],
  "frac_coords": [[0.0000, 0.0000, 0.9826], [0.3333, 0.6667, 0.6457], [0.6667, 0.3333, 0.3717]]
}


Stability, highest: i


i:
{
  "formula": "ZrTcIr",
  "functional": "PBE-GGA",
  "state": "relaxed",
  "n_ef_per_ev_cell": 3.12,
  "lattice_angstrom": [[5.2220, 0.0045, 0.0000], [2.9742, 4.2923, 0.0000], [-3.7443, -2.8234, 2.2975]],
  "species": ["Ir", "Tc", "Zr"],
  "frac_coords": [[0.9755, 0.9755, 0.0000], [0.3576, 0.3576, 0.0000], [0.6669, 0.6669, 0.0000]]
}


ii:
{
  "formula": "ZrTcIr",
  "functional": "PBE-GGA",
  "state": "relaxed",
  "n_ef_per_ev_cell": 13.38,
  "lattice_angstrom": [[-0.3521, -0.7503, -3.7141], [3.9157, -1.6553, -0.0369], [-4.7236, -11.2346, 2.7174]],
  "species": ["Ir", "Ir", "Ir", "Ir", "Zr", "Zr", "Zr", "Zr", "Tc", "Tc", "Tc", "Tc"],
  "frac_coords": [[0.0000, 0.5000, 0.1363], [0.0000, 0.5000, 0.7977], [0.0000, 0.0000, 0.2977], [0.0000, 0.0000, 0.6363], [0.5000, 0.5000, 0.9561], [0.5000, 0.0000, 0.1462], [0.5000, 0.5000, 0.6462], [0.5000, 0.0000, 0.4561], [0.0000, 0.5000, 0.4533], [0.0000, 0.0000, 0.9533], [0.5000, 0.5000, 0.3022], [0.5000, 0.0000, 0.8022]]
}


Stability, highest: ii


i:
{
  "formula": "ZrTcIr",
  "functional": "PBE-GGA",
  "state": "relaxed",
  "n_ef_per_ev_cell": 4.74,
  "lattice_angstrom": [[-3.6961, 0.2369, 2.3258], [-2.8418, -3.3236, -0.0658], [-0.5162, -2.5062, 3.5467]],
  "species": ["Ir", "Tc", "Zr"],
  "frac_coords": [[0.0000, 0.0000, 0.0000], [0.5000, 0.5000, 0.5000], [0.7500, 0.7500, 0.7500]]
}


ii:
{
  "formula": "ZrTcIr",
  "functional": "PBE-GGA",
  "state": "relaxed",
  "n_ef_per_ev_cell": 13.94,
  "lattice_angstrom": [[-5.4403, 0.5155, -0.2554], [-0.3794, -2.1441, 3.7530], [2.2317, 7.1844, 4.3301]],
  "species": ["Ir", "Ir", "Ir", "Ir", "Zr", "Zr", "Zr", "Zr", "Tc", "Tc", "Tc", "Tc"],
  "frac_coords": [[0.6690, 0.0000, 0.3175], [0.3310, 0.0000, 0.6825], [0.3310, 0.5000, 0.1825], [0.6690, 0.5000, 0.8175], [0.1866, 0.0000, 0.3562], [0.1866, 0.5000, 0.8562], [0.8134, 0.5000, 0.1438], [0.8134, 0.0000, 0.6438], [0.5000, 0.0000, 0.0000], [0.0000, 0.5000, 0.5000], [0.0000, 0.0000, 0.0000], [0.5000, 0.5000, 0.5000]]
}


Stability, highest: ii


i:
{
  "formula": "ZrTcIr",
  "functional": "PBE-GGA",
  "state": "relaxed",
  "n_ef_per_ev_cell": 3.13,
  "lattice_angstrom": [[-3.6033, -2.7628, 4.6789], [-0.9371, -3.2920, 5.5490], [-0.2175, 2.0866, 1.9351]],
  "species": ["Tc", "Ir", "Zr"],
  "frac_coords": [[0.3488, 0.3488, 0.6512], [0.9857, 0.9857, 0.0143], [0.6655, 0.6655, 0.3345]]
}


ii:
{
  "formula": "ZrTcIr",
  "functional": "PBE-GGA",
  "state": "relaxed",
  "n_ef_per_ev_cell": 12.29,
  "lattice_angstrom": [[-0.6273, -3.0408, -3.9743], [-3.7218, -4.9573, 4.3804], [-4.6379, 2.4634, -1.1527]],
  "species": ["Tc", "Tc", "Tc", "Tc", "Zr", "Zr", "Zr", "Zr", "Ir", "Ir", "Ir", "Ir"],
  "frac_coords": [[0.0000, 0.0000, 0.3679], [0.5000, 0.5000, 0.8679], [0.0000, 0.5000, 0.8679], [0.5000, 0.0000, 0.3679], [0.2500, 0.6264, 0.3554], [0.7500, 0.1264, 0.8554], [0.2500, 0.8736, 0.8554], [0.7500, 0.3736, 0.3554], [0.2500, 0.2372, 0.0842], [0.7500, 0.7372, 0.5842], [0.7500, 0.7628, 0.0842], [0.2500, 0.2628, 0.5842]]
}


Stability, highest: ii